A plane-wave DFT calculation with PBE was carried out for a relaxed structure of Li2Tb3Hg4.

a = 10.882 Å, b = 4.884 Å, c = 9.073 Å
α = 90.00°, β = 120.00°, γ = 90.00°
Space group C2/m (No. 12)
Unique sites:
Li (0.129, 0.000, 0.300)
Tb (0.000, 0.500, 0.000)
Tb (0.160, 0.000, 0.676)
Hg (0.074, 0.500, 0.394)
Hg (0.210, 0.000, 0.064)

Output
Its energy relative to the lowest polymorph listed for this composition is 21 meV/atom. The energy of formation comes out at -373 meV/atom.